NaZnNiAs: relaxed, PBE.

Properties
- spin magnetization (μB per atom) = 0.001
- distance to the lowest polymorph of the same formula (meV per atom) = 0.0
- uncorrected energy (eV for the cell shown) = -12.752

a b c (Å): 4.4438 4.4438 4.4438
angles (deg): 60.00 60.00 60.00
Closest atoms and distances in Å follow each position.
Fractional coordinates of all 4 atoms:
Na 0.0000 0.0000 0.0000  4 As 2.72, 4 Zn 2.72
Zn 0.7500 0.7500 0.7500  4 Na 2.72, 4 Ni 2.72
Ni 0.5000 0.5000 0.5000  4 Zn 2.72, 4 As 2.72
As 0.2500 0.2500 0.2500  4 Ni 2.72, 4 Na 2.72

=====

NaAsPdO: relaxed, PBE.

Properties
- distance to the lowest polymorph of the same formula (meV per atom) = 723.8
- uncorrected energy (eV for the cell shown) = -30.704

a b c (Å): 3.7667 3.7667 8.7593
angles (deg): 90.00 90.00 90.00
Closest atoms and distances in Å follow each position.
Fractional coordinates of all 8 atoms:
Na 0.2500 0.7500 0.0000  4 Na 2.66, 4 As 2.94
Na 0.7500 0.2500 0.0000  4 Na 2.66, 4 As 2.94
As 0.2500 0.2500 0.2572  4 Pd 2.81, 4 O 2.84, 4 Na 2.94
As 0.7500 0.7500 0.7428  4 Pd 2.81, 4 O 2.84, 4 Na 2.94
Pd 0.2500 0.2500 0.6390  4 O 2.24
Pd 0.7500 0.7500 0.3610  4 O 2.24
O 0.2500 0.7500 0.5000  4 Pd 2.24
O 0.7500 0.2500 0.5000  4 Pd 2.24